First-principles (PBE-GGA) data for crystalline Ho8Cd2Ru at its relaxed geometry, as listed in Alexandria.

a = 5.3471 Å, b = 6.9316 Å, c = 9.0701 Å
α = 109.76°, β = 107.14°, γ = 90.00°
Closest atoms and distances in Å follow each position.
Atoms (fractional coordinates):
Ho 0.4061 0.5837 0.8123  1 Ru 2.77
Ho 0.1950 0.2779 0.3900  1 Cd 3.01
Ho 0.6508 0.9449 0.3016  1 Ru 2.77, 1 Cd 3.06
Ho 0.3492 0.0551 0.6984  1 Ru 2.77, 1 Cd 3.06
Ho 0.9804 0.2145 0.9607  1 Cd 3.08, 2 Ru 3.14, 5 Ho 3.28-3.43
Ho 0.5939 0.4163 0.1877  1 Ru 2.77
Cd 0.8175 0.2998 0.6351  7 Ho 3.01-3.35
Ho 0.0196 0.7855 0.0393  1 Cd 3.08, 2 Ru 3.14, 5 Ho 3.28-3.43
Ho 0.8050 0.7221 0.6100  1 Cd 3.01
Ru 0.5000 0.0000 0.0000  4 Ho 2.77
Cd 0.1825 0.7002 0.3649  7 Ho 3.01-3.35

ΔH_f (0 K): -2.2 eV per formula unit
Spin magnetization: 0.00 μB/f.u.
Space-group type: C2/m (12)
Raw total energy: -49.920 eV per cell